This record from the Alexandria database describes crystalline TiMn2MoI at its relaxed geometry. The functional is PBE.

## Properties
As for the volume: 19.645 A^3/atom. For the formation energy from raw total energies, the calculation gives 1.82 eV/atom. The space group is No. 123.

Cell lengths 4.482, 4.890, 4.482 Å; angles 90.00, 90.00, 90.00 degrees
Element x y z (fractional)
Mn: 0.500 0.000 0.000
I: 0.000 0.000 0.000
Mn: 0.000 0.000 0.500
Mo: 0.000 0.500 0.000
Ti: 0.500 0.500 0.500

---

This record from the Alexandria database describes crystalline Mn2TlMoI at its relaxed geometry. The functional is PBE.

## Properties
As for the volume: 23.828 A^3/atom. For the formation energy from raw total energies, the calculation gives 1.47 eV/atom. The space group is No. 123.

Cell lengths 4.818, 5.132, 4.818 Å; angles 90.00, 90.00, 90.00 degrees
Element x y z (fractional)
Mn: 0.000 0.000 0.500
Mo: 0.000 0.500 0.000
Tl: 0.500 0.500 0.500
Mn: 0.500 0.000 0.000
I: 0.000 0.000 0.000

---

This record from the Alexandria database describes crystalline MnVMo2I at its relaxed geometry. The functional is PBE.

## Properties
As for the volume: 20.386 A^3/atom. For the formation energy from raw total energies, the calculation gives 1.99 eV/atom. The space group is No. 123.

Cell lengths 4.523, 4.983, 4.523 Å; angles 90.00, 90.00, 90.00 degrees
Element x y z (fractional)
Mn: 0.500 0.500 0.500
I: 0.000 0.500 0.000
Mo: 0.000 0.000 0.500
V: 0.000 0.000 0.000
Mo: 0.500 0.000 0.000

---

This record from the Alexandria database describes crystalline MnIN3 at its relaxed geometry. The functional is PBE.

## Properties
As for the volume: 10.987 A^3/atom. For the formation energy from raw total energies, the calculation gives 1.40 eV/atom. The space group is No. 221.

Cell lengths 3.801, 3.801, 3.801 Å; angles 90.00, 90.00, 90.00 degrees
Element x y z (fractional)
I: 0.500 0.500 0.500
N: 0.000 0.000 0.500
Mn: 0.000 0.000 0.000
N: 0.500 0.000 0.000
N: 0.000 0.500 0.000

---

This record from the Alexandria database describes crystalline MnIN3 at its relaxed geometry. The functional is PBE.

## Properties
As for the volume: 12.381 A^3/atom. For the formation energy from raw total energies, the calculation gives 2.11 eV/atom. The space group is No. 221.

Cell lengths 3.956, 3.956, 3.956 Å; angles 90.00, 90.00, 90.00 degrees
Element x y z (fractional)
N: 0.500 0.000 0.000
N: 0.000 0.500 0.000
Mn: 0.500 0.500 0.500
N: 0.000 0.000 0.500
I: 0.000 0.000 0.000

---

This record from the Alexandria database describes crystalline Mn3IN at its relaxed geometry. The functional is PBE.

## Properties
As for the volume: 13.218 A^3/atom. For the formation energy from raw total energies, the calculation gives 0.39 eV/atom. The space group is No. 221.

Cell lengths 4.043, 4.043, 4.043 Å; angles 90.00, 90.00, 90.00 degrees
Element x y z (fractional)
Mn: 0.500 0.000 0.000
Mn: 0.000 0.000 0.500
N: 0.000 0.000 0.000
I: 0.500 0.500 0.500
Mn: 0.000 0.500 0.000

---

This record from the Alexandria database describes crystalline NaMnI2N at its relaxed geometry. The functional is PBE.

## Properties
The value obtained for the energy above the most stable polymorph in this dataset is 1.149 eV/atom. As for the volume: 31.013 A^3/atom. For the formation energy from raw total energies, the calculation gives 0.93 eV/atom. The space group is No. 123.

Cell lengths 5.905, 5.905, 4.447 Å; angles 90.00, 90.00, 90.00 degrees
Element x y z (fractional)
Mn: 0.500 0.500 0.500
I: 0.000 0.500 0.000
I: 0.500 0.000 0.000
N: 0.000 0.000 0.500
Na: 0.000 0.000 0.000

---

This record from the Alexandria database describes crystalline NaMnI2N at its relaxed geometry. The functional is PBE.

## Properties
The value obtained for the energy above the most stable polymorph in this dataset is 0.000 eV/atom. As for the volume: 24.925 A^3/atom. For the formation energy from raw total energies, the calculation gives -0.22 eV/atom. The space group is No. 123.

Cell lengths 5.825, 5.825, 3.673 Å; angles 90.00, 90.00, 90.00 degrees
Element x y z (fractional)
Na: 0.500 0.500 0.500
I: 0.500 0.000 0.000
N: 0.000 0.000 0.500
Mn: 0.000 0.000 0.000
I: 0.000 0.500 0.000

---

This record from the Alexandria database describes crystalline MnNbI2N at its relaxed geometry. The functional is PBE.

## Properties
The value obtained for the energy above the most stable polymorph in this dataset is 0.282 eV/atom. As for the volume: 21.001 A^3/atom. For the formation energy from raw total energies, the calculation gives 0.66 eV/atom. The space group is No. 123.

Cell lengths 5.457, 5.457, 3.526 Å; angles 90.00, 90.00, 90.00 degrees
Element x y z (fractional)
N: 0.000 0.000 0.500
I: 0.500 0.000 0.000
Nb: 0.500 0.500 0.500
Mn: 0.000 0.000 0.000
I: 0.000 0.500 0.000

---

This record from the Alexandria database describes crystalline MnNbI2N at its relaxed geometry. The functional is PBE.

## Properties
The value obtained for the energy above the most stable polymorph in this dataset is 0.000 eV/atom. As for the volume: 25.984 A^3/atom. For the formation energy from raw total energies, the calculation gives 0.38 eV/atom. The space group is No. 123.

Cell lengths 5.746, 5.746, 3.935 Å; angles 90.00, 90.00, 90.00 degrees
Element x y z (fractional)
I: 0.000 0.500 0.000
Nb: 0.000 0.000 0.000
I: 0.500 0.000 0.000
Mn: 0.500 0.500 0.500
N: 0.000 0.000 0.500

---

This record from the Alexandria database describes crystalline MnNiI2N at its relaxed geometry. The functional is PBE.

## Properties
The value obtained for the energy above the most stable polymorph in this dataset is 0.000 eV/atom. As for the volume: 20.640 A^3/atom. For the formation energy from raw total energies, the calculation gives 0.61 eV/atom. The space group is No. 123.

Cell lengths 5.411, 5.411, 3.525 Å; angles 90.00, 90.00, 90.00 degrees
Element x y z (fractional)
Mn: 0.000 0.000 0.000
I: 0.000 0.500 0.000
N: 0.000 0.000 0.500
I: 0.500 0.000 0.000
Ni: 0.500 0.500 0.500

---

This record from the Alexandria database describes crystalline MnNiI2N at its relaxed geometry. The functional is PBE.

## Properties
The value obtained for the energy above the most stable polymorph in this dataset is 0.064 eV/atom. As for the volume: 21.838 A^3/atom. For the formation energy from raw total energies, the calculation gives 0.68 eV/atom. The space group is No. 123.

Cell lengths 5.571, 5.571, 3.518 Å; angles 90.00, 90.00, 90.00 degrees
Element x y z (fractional)
I: 0.000 0.500 0.000
Mn: 0.500 0.500 0.500
Ni: 0.000 0.000 0.000
I: 0.500 0.000 0.000
N: 0.000 0.000 0.500